(1)
Cu2TcHIr: relaxed, PBE.

a b c (Å): 3.8885 3.7567 3.8885
angles (deg): 90.00 90.00 90.00
Site moments in Bohr magnetons follow the coordinates.
Element x y z (fractional)
Ir1 0.0000 0.5000 0.0000  0.28
H1 0.0000 0.0000 0.0000  0.01
Cu1 0.0000 0.0000 0.5000  0.08
Cu2 0.5000 0.0000 0.0000  0.06
Tc1 0.5000 0.5000 0.5000  1.08

Output
**Calculated total energy**: -5.77 eV/atom

=====

(2)
LaZrTl2: relaxed, PBE.

a b c (Å): 5.6679 5.6679 6.0737
angles (deg): 78.75 78.75 35.68
Element x y z (fractional)
Tl1 0.0097 0.0097 0.9710
La1 0.2500 0.2500 0.2500
Zr1 0.7500 0.7500 0.7500
Tl2 0.4903 0.4903 0.5290

Output
**ΔH_f (0 K)**: -0.057 eV per atom
**Calculated total energy**: -4.61 eV/atom